(1)
DFT (PBE-GGA) results for crystalline PuSnHg2 at its relaxed geometry.

Structure (extended XYZ):
```
4
Lattice="4.579 0.000 0.000 0.000 4.579 0.000 0.000 0.000 4.838" Properties=species:S:1:pos:R:3 pbc="T T T"
Pu 0.000 0.000 0.000
Sn 2.290 2.290 0.000
Hg 0.000 2.290 2.419
Hg 2.290 0.000 2.419
```

## Properties
As for the space group: P4/mmm (123).



(2)
DFT (PBE-GGA) results for crystalline Pu3Sn2Hg at its relaxed geometry.

Structure (extended XYZ):
```
6
Lattice="3.248 0.000 0.000 0.000 3.248 0.000 0.000 0.000 14.064" Properties=species:S:1:pos:R:3 pbc="T T T"
Pu 0.000 0.000 0.000
Pu 0.000 0.000 4.647
Pu 0.000 0.000 9.417
Sn 1.624 1.624 2.279
Sn 1.624 1.624 11.785
Hg 1.624 1.624 7.032
```

## Properties
As for the space group: P4/mmm (123).



| no. | formation enthalpy at 0 K (meV per atom) |
| --- | --- |
| 1 | -185 |
| 2 | 97 |